--- A ---
# ZnHg2As, optimized geometry, DFT PBE
# M_tot = 0.000 μB/f.u.
# Crystal system = orthorhombic
# Volume = 21.7 A^3/atom
data_ZnHg2As
_symmetry_space_group_name_H-M 'P m m m'
_symmetry_Int_Tables_number 47
_symmetry_space_group_name_Hall '-P 2 2'
_cell_length_a 3.061
_cell_length_b 5.076
_cell_length_c 5.588
_cell_angle_alpha 90.00
_cell_angle_beta 90.00
_cell_angle_gamma 90.00
loop_
_atom_site_label
_atom_site_fract_x
_atom_site_fract_y
_atom_site_fract_z
Zn1 0.000 0.000 0.000
Hg1 0.000 0.500 0.500
Hg2 0.500 0.500 0.000
As1 0.500 0.000 0.500

--- B ---
# ZnHg2As, optimized geometry, DFT PBE
# M_tot = 0.000 μB/f.u.
# Crystal system = trigonal
# Volume = 24.1 A^3/atom
data_ZnHg2As
_symmetry_space_group_name_H-M 'R 3 m'
_symmetry_Int_Tables_number 160
_symmetry_space_group_name_Hall 'R 3 -2"'
_cell_length_a 4.1623
_cell_length_b 4.1623
_cell_length_c 19.2501
_cell_angle_alpha 90.00
_cell_angle_beta 90.00
_cell_angle_gamma 120.00
loop_
_atom_site_label
_atom_site_fract_x
_atom_site_fract_y
_atom_site_fract_z
Zn1 0.0000 0.0000 0.0000
Hg1 0.0000 0.0000 0.2311
Hg2 0.0000 0.0000 0.4659
As1 0.0000 0.0000 0.6971

--- C ---
# ZnHg2As, optimized geometry, DFT PBE
# M_tot = 0.000 μB/f.u.
# Crystal system = cubic
# Volume = 21.5 A^3/atom
data_ZnHg2As
_symmetry_space_group_name_H-M 'F m -3 m'
_symmetry_Int_Tables_number 225
_symmetry_space_group_name_Hall '-F 4 2 3'
_cell_length_a 7.005
_cell_length_b 7.005
_cell_length_c 7.005
_cell_angle_alpha 90.00
_cell_angle_beta 90.00
_cell_angle_gamma 90.00
loop_
_atom_site_label
_atom_site_fract_x
_atom_site_fract_y
_atom_site_fract_z
Zn1 0.000 0.000 0.000
Hg1 0.250 0.250 0.250
As1 0.000 0.000 0.500

--- D ---
# ZnHg2As, optimized geometry, DFT PBE
# M_tot = 0.000 μB/f.u.
# Crystal system = tetragonal
# Volume = 25.2 A^3/atom
data_ZnHg2As
_symmetry_space_group_name_H-M 'P 4 m m'
_symmetry_Int_Tables_number 99
_symmetry_space_group_name_Hall 'P 4 -2'
_cell_length_a 3.485
_cell_length_b 3.485
_cell_length_c 8.297
_cell_angle_alpha 90.00
_cell_angle_beta 90.00
_cell_angle_gamma 90.00
loop_
_atom_site_label
_atom_site_fract_x
_atom_site_fract_y
_atom_site_fract_z
Zn1 0.000 0.000 0.000
Hg1 0.000 0.000 0.321
Hg2 0.500 0.500 0.572
As1 0.500 0.500 0.906

Pick B: it beats the second-best structure by 81 meV per atom.

--- A ---
# ZnHg2As, optimized geometry, DFT PBE
# M_tot = 0.000 μB/f.u.
# Crystal system = orthorhombic
# Volume = 22.5 A^3/atom
data_ZnHg2As
_symmetry_space_group_name_H-M 'I m m 2'
_symmetry_Int_Tables_number 44
_symmetry_space_group_name_Hall 'I 2 -2'
_cell_length_a 3.225
_cell_length_b 4.422
_cell_length_c 12.594
_cell_angle_alpha 90.00
_cell_angle_beta 90.00
_cell_angle_gamma 90.00
loop_
_atom_site_label
_atom_site_fract_x
_atom_site_fract_y
_atom_site_fract_z
Zn1 0.000 0.000 0.000
Hg1 0.000 0.000 0.435
Hg2 0.000 0.500 0.257
As1 0.000 0.500 0.664

--- B ---
# ZnHg2As, optimized geometry, DFT PBE
# M_tot = 0.000 μB/f.u.
# Crystal system = monoclinic
# Volume = 26.4 A^3/atom
data_ZnHg2As
_symmetry_space_group_name_H-M 'C 1 m 1'
_symmetry_Int_Tables_number 8
_symmetry_space_group_name_Hall 'C -2y'
_cell_length_a 7.296
_cell_length_b 4.230
_cell_length_c 6.842
_cell_angle_alpha 90.00
_cell_angle_beta 90.29
_cell_angle_gamma 90.00
loop_
_atom_site_label
_atom_site_fract_x
_atom_site_fract_y
_atom_site_fract_z
Zn1 0.000 0.000 0.000
Hg1 0.182 0.500 0.691
Hg2 0.350 0.000 0.434
As1 0.334 0.000 0.036

--- C ---
# ZnHg2As, optimized geometry, DFT PBE
# M_tot = 0.000 μB/f.u.
# Crystal system = monoclinic
# Volume = 23.5 A^3/atom
data_ZnHg2As
_symmetry_space_group_name_H-M 'C 1 2/m 1'
_symmetry_Int_Tables_number 12
_symmetry_space_group_name_Hall '-C 2y'
_cell_length_a 5.867
_cell_length_b 8.036
_cell_length_c 4.930
_cell_angle_alpha 90.00
_cell_angle_beta 126.02
_cell_angle_gamma 90.00
loop_
_atom_site_label
_atom_site_fract_x
_atom_site_fract_y
_atom_site_fract_z
Zn1 0.000 0.000 0.000
Hg1 0.250 0.250 0.500
As1 0.000 0.500 0.000

--- D ---
# ZnHg2As, optimized geometry, DFT PBE
# M_tot = 0.000 μB/f.u.
# Crystal system = trigonal
# Volume = 21.4 A^3/atom
data_ZnHg2As
_symmetry_space_group_name_H-M 'R -3 m'
_symmetry_Int_Tables_number 166
_symmetry_space_group_name_Hall '-R 3 2"'
_cell_length_a 3.3585
_cell_length_b 3.3585
_cell_length_c 26.2711
_cell_angle_alpha 90.00
_cell_angle_beta 90.00
_cell_angle_gamma 120.00
loop_
_atom_site_label
_atom_site_fract_x
_atom_site_fract_y
_atom_site_fract_z
Zn1 0.0000 0.0000 0.0000
Hg1 0.0000 0.0000 0.2559
As1 0.0000 0.0000 0.5000

Pick B: it beats the second-best structure by 143 meV per atom.

--- A ---
# Zn3HgAs, optimized geometry, DFT PBE
# M_tot = 0.000 μB/f.u.
# Crystal system = cubic
# Volume = 24.8 A^3/atom
data_Zn3HgAs
_symmetry_space_group_name_H-M 'P m -3 m'
_symmetry_Int_Tables_number 221
_symmetry_space_group_name_Hall '-P 4 2 3'
_cell_length_a 4.989
_cell_length_b 4.989
_cell_length_c 4.989
_cell_angle_alpha 90.00
_cell_angle_beta 90.00
_cell_angle_gamma 90.00
loop_
_atom_site_label
_atom_site_fract_x
_atom_site_fract_y
_atom_site_fract_z
Zn1 0.000 0.000 0.500
Hg1 0.500 0.500 0.500
As1 0.000 0.000 0.000

--- B ---
# Zn3HgAs, optimized geometry, DFT PBE
# M_tot = 0.000 μB/f.u.
# Crystal system = cubic
# Volume = 24.6 A^3/atom
data_Zn3HgAs
_symmetry_space_group_name_H-M 'P m -3 m'
_symmetry_Int_Tables_number 221
_symmetry_space_group_name_Hall '-P 4 2 3'
_cell_length_a 4.976
_cell_length_b 4.976
_cell_length_c 4.976
_cell_angle_alpha 90.00
_cell_angle_beta 90.00
_cell_angle_gamma 90.00
loop_
_atom_site_label
_atom_site_fract_x
_atom_site_fract_y
_atom_site_fract_z
Zn1 0.000 0.000 0.500
Hg1 0.000 0.000 0.000
As1 0.500 0.500 0.500

Pick A: it beats the second-best structure by 362 meV per atom.

--- A ---
# Zn2Hg2As, optimized geometry, DFT PBE
# M_tot = 0.000 μB/f.u.
# Crystal system = tetragonal
# Volume = 20.4 A^3/atom
data_Zn2Hg2As
_symmetry_space_group_name_H-M 'P 4/m b m'
_symmetry_Int_Tables_number 127
_symmetry_space_group_name_Hall '-P 4 2ab'
_cell_length_a 8.225
_cell_length_b 8.225
_cell_length_c 3.017
_cell_angle_alpha 90.00
_cell_angle_beta 90.00
_cell_angle_gamma 90.00
loop_
_atom_site_label
_atom_site_fract_x
_atom_site_fract_y
_atom_site_fract_z
Zn1 0.110 0.390 0.000
Hg1 0.191 0.691 0.500
As1 0.000 0.000 0.500

--- B ---
# Zn2Hg2As, optimized geometry, DFT PBE
# M_tot = 0.000 μB/f.u.
# Crystal system = tetragonal
# Volume = 20.7 A^3/atom
data_Zn2Hg2As
_symmetry_space_group_name_H-M 'I 4/m m m'
_symmetry_Int_Tables_number 139
_symmetry_space_group_name_Hall '-I 4 2'
_cell_length_a 3.915
_cell_length_b 3.915
_cell_length_c 13.532
_cell_angle_alpha 90.00
_cell_angle_beta 90.00
_cell_angle_gamma 90.00
loop_
_atom_site_label
_atom_site_fract_x
_atom_site_fract_y
_atom_site_fract_z
Zn1 0.000 0.500 0.250
Hg1 0.000 0.000 0.105
As1 0.000 0.000 0.500

Pick A: it beats the second-best structure by 29 meV per atom.

--- A ---
# Zn2HgAs2, optimized geometry, DFT PBE
# M_tot = 0.000 μB/f.u.
# Crystal system = tetragonal
# Volume = 19.7 A^3/atom
data_Zn2HgAs2
_symmetry_space_group_name_H-M 'P 4/m b m'
_symmetry_Int_Tables_number 127
_symmetry_space_group_name_Hall '-P 4 2ab'
_cell_length_a 8.218
_cell_length_b 8.218
_cell_length_c 2.924
_cell_angle_alpha 90.00
_cell_angle_beta 90.00
_cell_angle_gamma 90.00
loop_
_atom_site_label
_atom_site_fract_x
_atom_site_fract_y
_atom_site_fract_z
Zn1 0.144 0.356 0.000
Hg1 0.000 0.000 0.500
As1 0.152 0.652 0.500

--- B ---
# Zn2HgAs2, optimized geometry, DFT PBE
# M_tot = 0.000 μB/f.u.
# Crystal system = tetragonal
# Volume = 19.4 A^3/atom
data_Zn2HgAs2
_symmetry_space_group_name_H-M 'P 4/m b m'
_symmetry_Int_Tables_number 127
_symmetry_space_group_name_Hall '-P 4 2ab'
_cell_length_a 8.003
_cell_length_b 8.003
_cell_length_c 3.028
_cell_angle_alpha 90.00
_cell_angle_beta 90.00
_cell_angle_gamma 90.00
loop_
_atom_site_label
_atom_site_fract_x
_atom_site_fract_y
_atom_site_fract_z
Zn1 0.145 0.355 0.000
Hg1 0.000 0.000 0.000
As1 0.148 0.648 0.500

--- C ---
# Zn2HgAs2, optimized geometry, DFT PBE
# M_tot = 0.000 μB/f.u.
# Crystal system = tetragonal
# Volume = 20.5 A^3/atom
data_Zn2HgAs2
_symmetry_space_group_name_H-M 'I 4/m m m'
_symmetry_Int_Tables_number 139
_symmetry_space_group_name_Hall '-I 4 2'
_cell_length_a 4.090
_cell_length_b 4.090
_cell_length_c 12.246
_cell_angle_alpha 90.00
_cell_angle_beta 90.00
_cell_angle_gamma 90.00
loop_
_atom_site_label
_atom_site_fract_x
_atom_site_fract_y
_atom_site_fract_z
Zn1 0.000 0.000 0.102
Hg1 0.000 0.000 0.500
As1 0.000 0.500 0.250

Pick C: it beats the second-best structure by 41 meV per atom.